Below is a relaxed structure of MgZnS2N, with properties calculated at the PBE level.

Output
* energy: -17.109 eV/cell
* calculated volume: 17.80 A^3/atom

a b c (Å): 4.8465 4.8465 3.7892
angles (deg): 90.00 90.00 90.00
Fractional positions:
Mg 0.0000 0.0000 0.0000
Zn 0.5000 0.5000 0.5000
S 0.0000 0.5000 0.5000
S 0.5000 0.0000 0.5000
N 0.5000 0.5000 0.0000